FePt2W | GGA-PBE | optimized geometry

a = 2.7644 Å, b = 2.7644 Å, c = 27.2717 Å
α = 90.00°, β = 90.00°, γ = 120.00°
Space group R3m (No. 160, hexagonal axes)
One atom of each set of equivalent atoms:
Fe (0.0000, 0.0000, 0.0000)
Pt (0.0000, 0.0000, 0.5011)
Pt (0.0000, 0.0000, 0.7442)
W (0.0000, 0.0000, 0.2503)

Computed properties:
**Crystal system**: trigonal
**V**: 15.041 Å³ per atom
**DFT total energy**: -101.208 eV per cell
**Density**: 17.4 g/cm3
**Magnetic moment**: 2.979 μB per formula unit